# 1
First-principles (PBE-GGA) data for a geometry-optimized K2BaFeAu structure, as listed in the Alexandria database.

Geometry as CIF:
```
data_K2BaFeAu
_chemical_formula_sum 'K2 Ba1 Fe1 Au1'
_cell_length_a 6.268
_cell_length_b 6.268
_cell_length_c 5.165
_cell_angle_alpha 90.00
_cell_angle_beta 90.00
_cell_angle_gamma 90.00
_space_group_name_H-M_alt 'P 4/m m m'
_space_group_IT_number 123
_space_group_name_Hall '-P 4 2'
loop_
_atom_site_label
_atom_site_fract_x
_atom_site_fract_y
_atom_site_fract_z
K1 0.000 0.500 0.000
Ba1 0.000 0.000 0.500
Fe1 0.500 0.500 0.500
Au1 0.500 0.500 0.000
```

Properties
energy of formation from the pure elements: 44.6 kJ per mole of atoms
total magnetic moment: 2.303 μB/f.u.

# 2
First-principles (PBE-GGA) data for a geometry-optimized Ba2FeAuN structure, as listed in the Alexandria database.

Geometry as CIF:
```
data_Ba2FeAuN
_chemical_formula_sum 'Ba2 Fe1 Au1 N1'
_cell_length_a 5.834
_cell_length_b 5.834
_cell_length_c 3.623
_cell_angle_alpha 90.00
_cell_angle_beta 90.00
_cell_angle_gamma 90.00
_space_group_name_H-M_alt 'P 4/m m m'
_space_group_IT_number 123
_space_group_name_Hall '-P 4 2'
loop_
_atom_site_label
_atom_site_fract_x
_atom_site_fract_y
_atom_site_fract_z
Ba1 0.000 0.500 0.000
Fe1 0.000 0.000 0.500
Au1 0.500 0.500 0.500
N1 0.000 0.000 0.000
```

Properties
electronic total energy: -26.04 eV/cell
total magnetic moment: 1.011 μB/f.u.